# 1
Density functional theory data (PBE-GGA) for a relaxed HfZnPb3 crystal.

a b c (Å): 5.656 5.656 5.656
angles (deg): 90.00 90.00 90.00
Positions (direct):
Pb: 0.000 0.500 0.000
Pb: 0.000 0.000 0.500
Pb: 0.500 0.000 0.000
Zn: 0.500 0.500 0.500
Hf: 0.000 0.000 0.000

Results
Symmetry: No. 221
Spin magnetization: 0.0 μB/cell
E_form: 0.495 eV/atom
Distance to the lowest polymorph of the same formula: 0.000 eV/atom


# 2
Density functional theory data (PBE-GGA) for a relaxed Hf5Zn2Pb crystal.

a b c (Å): 7.301 7.301 8.069
angles (deg): 116.90 116.90 90.00
Positions (direct):
Hf: 0.502 0.697 0.699
Hf: 0.803 0.998 0.301
Hf: 0.000 0.000 0.000
Hf: 0.500 0.500 0.000
Hf: 0.197 0.002 0.699
Hf: 0.697 0.197 0.699
Hf: 0.002 0.502 0.699
Hf: 0.303 0.803 0.301
Hf: 0.998 0.498 0.301
Hf: 0.498 0.303 0.301
Zn: 0.139 0.361 0.000
Zn: 0.639 0.139 0.000
Zn: 0.361 0.861 0.000
Zn: 0.861 0.639 0.000
Pb: 0.750 0.750 0.500
Pb: 0.250 0.250 0.500

Results
Symmetry: No. 140
Spin magnetization: 2.9 μB/cell
E_form: -0.058 eV/atom


# 3
Density functional theory data (PBE-GGA) for a relaxed HfZn2Pb2 crystal.

a b c (Å): 7.678 7.678 3.732
angles (deg): 90.00 90.00 90.00
Positions (direct):
Pb: 0.179 0.679 0.500
Pb: 0.679 0.821 0.500
Pb: 0.821 0.321 0.500
Pb: 0.321 0.179 0.500
Zn: 0.379 0.879 0.000
Zn: 0.879 0.621 0.000
Zn: 0.621 0.121 0.000
Zn: 0.121 0.379 0.000
Hf: 0.000 0.000 0.000
Hf: 0.500 0.500 0.000

Results
Symmetry: No. 127
Spin magnetization: 0.0 μB/cell
E_form: 0.207 eV/atom


# 4
Density functional theory data (PBE-GGA) for a relaxed HfZn3Pb crystal.

a b c (Å): 5.069 5.069 5.069
angles (deg): 90.00 90.00 90.00
Positions (direct):
Pb: 0.000 0.000 0.000
Zn: 0.000 0.500 0.000
Zn: 0.000 0.000 0.500
Zn: 0.500 0.000 0.000
Hf: 0.500 0.500 0.500

Results
Symmetry: No. 221
Spin magnetization: 0.0 μB/cell
E_form: 1.107 eV/atom
Distance to the lowest polymorph of the same formula: 0.318 eV/atom


# 5
Density functional theory data (PBE-GGA) for a relaxed HfZnPb crystal.

a b c (Å): 3.952 4.373 4.373
angles (deg): 120.00 90.00 90.00
Positions (direct):
Pb: 0.719 0.667 0.333
Zn: 0.004 0.000 0.000
Hf: 0.276 0.333 0.667

Results
Symmetry: No. 156
Spin magnetization: 0.0 μB/cell
E_form: 0.177 eV/atom
Distance to the lowest polymorph of the same formula: 0.189 eV/atom


# 6
Density functional theory data (PBE-GGA) for a relaxed Hf2ZnPb crystal.

a b c (Å): 4.369 4.350 4.350
angles (deg): 90.00 90.00 90.00
Positions (direct):
Pb: 0.500 0.500 0.500
Zn: 0.500 0.000 0.000
Hf: 0.000 0.000 0.500
Hf: 0.000 0.500 0.000

Results
Symmetry: No. 123
Spin magnetization: 0.0 μB/cell
E_form: -0.026 eV/atom
Distance to the lowest polymorph of the same formula: 0.000 eV/atom


DOS(E_F) values (in states/eV per cell) by entry order: 2.456; 22.491; 6.530; 1.380; 0.694; 2.814.
Calculated volume values (in Å³/atom) by entry order: 36.184; 20.660; 21.997; 26.053; 21.815; 20.674.